VASP calculation (PBE) on a relaxed CsZrO3 crystal.

Lattice parameters (Å, degrees): 7.059 7.059 7.059 49.79 49.79 49.79
Sites, in units of the cell vectors:
Cs 0.127 0.127 0.127
Cs 0.873 0.873 0.873
Zr 0.337 0.337 0.337
Zr 0.663 0.663 0.663
O 0.058 0.614 0.519
O 0.386 0.481 0.942
O 0.481 0.942 0.386
O 0.519 0.058 0.614
O 0.614 0.519 0.058
O 0.942 0.386 0.481

Summary:
Space-group type ... R-3 (148)
E_tot ... -7.15 eV per atom
Crystal system ... trigonal